Here is an optimized crystal structure of La2HoF from the Alexandria database. Energies are from GGA-PBE.

The calculation puts the uncorrected formation energy at -1.145 eV per atom. The value obtained for the magnetic moment is 0.0 Bohr magnetons per cell. For the total energy, the calculation gives -20.89 eV/f.u.

a b c (Å): 3.8761 3.8761 26.3286
angles (deg): 90.00 90.00 120.00
With the nearest neighbours (Å) after each atom.
Space group R-3m (No. 166, hexagonal axes)
Unique sites:
La: 0.0000 0.0000 0.2229 (multiplicity 6)  3 F 2.68
Ho: 0.0000 0.0000 0.0000 (multiplicity 3)  6 La 3.67, 6 Ho 3.88
F: 0.0000 0.0000 0.5000 (multiplicity 3)  6 La 2.68